No. 1
Material: KNa5F6
Method: DFT, PBE-GGA
State: optimized geometry

Lattice parameters (Å, degrees): 6.2624 6.2624 11.2848 90.00 90.00 120.00
Atoms (fractional coordinates):
K1 0.0000 0.0000 0.2500
K2 0.0000 0.0000 0.7500
Na1 0.0000 0.4021 0.2500
Na2 0.0000 0.5979 0.7500
Na3 0.3333 0.6667 0.0000
Na4 0.3333 0.6667 0.5000
Na5 0.4021 0.0000 0.2500
Na6 0.4021 0.4021 0.7500
Na7 0.5979 0.0000 0.7500
Na8 0.5979 0.5979 0.2500
Na9 0.6667 0.3333 0.0000
Na10 0.6667 0.3333 0.5000
F1 0.0000 0.3480 0.6235
F2 0.0000 0.3480 0.8765
F3 0.0000 0.6520 0.1235
F4 0.0000 0.6520 0.3765
F5 0.3480 0.0000 0.6235
F6 0.3480 0.0000 0.8765
F7 0.3480 0.3480 0.1235
F8 0.3480 0.3480 0.3765
F9 0.6520 0.0000 0.1235
F10 0.6520 0.0000 0.3765
F11 0.6520 0.6520 0.6235
F12 0.6520 0.6520 0.8765

## Properties
The space group is P6_3/mcm, No. 193.

No. 2
Material: K5Na3F12
Method: DFT, PBE-GGA
State: optimized geometry

Lattice parameters (Å, degrees): 12.6578 12.6578 12.6578 109.47 109.47 109.47
Atoms (fractional coordinates):
K1 0.0000 0.0000 0.0000
K2 0.0000 0.0000 0.5000
K3 0.0000 0.5000 0.0000
K4 0.0000 0.5000 0.5000
K5 0.1250 0.7500 0.8750
K6 0.1250 0.8750 0.2500
K7 0.2500 0.1250 0.8750
K8 0.2500 0.6250 0.3750
K9 0.3750 0.2500 0.6250
K10 0.3750 0.6250 0.7500
K11 0.5000 0.0000 0.0000
K12 0.5000 0.0000 0.5000
K13 0.5000 0.5000 0.0000
K14 0.5000 0.5000 0.5000
K15 0.6250 0.3750 0.2500
K16 0.6250 0.7500 0.3750
K17 0.7500 0.3750 0.6250
K18 0.7500 0.8750 0.1250
K19 0.8750 0.1250 0.7500
K20 0.8750 0.2500 0.1250
Na1 0.1250 0.2500 0.3750
Na2 0.1250 0.3750 0.7500
Na3 0.2500 0.3750 0.1250
Na4 0.2500 0.8750 0.6250
Na5 0.3750 0.1250 0.2500
Na6 0.3750 0.7500 0.1250
Na7 0.6250 0.2500 0.8750
Na8 0.6250 0.8750 0.7500
Na9 0.7500 0.1250 0.3750
Na10 0.7500 0.6250 0.8750
Na11 0.8750 0.6250 0.2500
Na12 0.8750 0.7500 0.6250
F1 0.0590 0.6385 0.3796
F2 0.0590 0.9206 0.6794
F3 0.0794 0.2589 0.1385
F4 0.0794 0.3206 0.9410
F5 0.1204 0.7589 0.6794
F6 0.1204 0.8615 0.4410
F7 0.1385 0.0794 0.2589
F8 0.1385 0.5590 0.8796
F9 0.1794 0.2589 0.6204
F10 0.1794 0.4206 0.5590
F11 0.2411 0.3206 0.8796
F12 0.2411 0.4206 0.3615
F13 0.2589 0.1385 0.0794
F14 0.2589 0.6204 0.1794
F15 0.3206 0.8796 0.2411
F16 0.3206 0.9410 0.0794
F17 0.3615 0.2411 0.4206
F18 0.3615 0.6204 0.9410
F19 0.3796 0.0590 0.6385
F20 0.3796 0.8206 0.7411
F21 0.4206 0.3615 0.2411
F22 0.4206 0.5590 0.1794
F23 0.4410 0.1204 0.8615
F24 0.4410 0.8206 0.5794
F25 0.5590 0.1794 0.4206
F26 0.5590 0.8796 0.1385
F27 0.5794 0.4410 0.8206
F28 0.5794 0.6385 0.7589
F29 0.6204 0.1794 0.2589
F30 0.6204 0.9410 0.3615
F31 0.6385 0.3796 0.0590
F32 0.6385 0.7589 0.5794
F33 0.6794 0.0590 0.9206
F34 0.6794 0.1204 0.7589
F35 0.7411 0.3796 0.8206
F36 0.7411 0.8615 0.9206
F37 0.7589 0.5794 0.6385
F38 0.7589 0.6794 0.1204
F39 0.8206 0.5794 0.4410
F40 0.8206 0.7411 0.3796
F41 0.8615 0.4410 0.1204
F42 0.8615 0.9206 0.7411
F43 0.8796 0.1385 0.5590
F44 0.8796 0.2411 0.3206
F45 0.9206 0.6794 0.0590
F46 0.9206 0.7411 0.8615
F47 0.9410 0.0794 0.3206
F48 0.9410 0.3615 0.6204

## Properties
The space group is Ia-3d, No. 230.

No. 3
Material: KNa3F
Method: DFT, PBE-GGA
State: optimized geometry

Lattice parameters (Å, degrees): 5.3841 5.3841 5.3841 90.00 90.00 90.00
Atoms (fractional coordinates):
K1 0.0000 0.0000 0.0000
Na1 0.0000 0.5000 0.5000
Na2 0.5000 0.0000 0.5000
Na3 0.5000 0.5000 0.0000
F1 0.5000 0.5000 0.5000

## Properties
The energy above the lowest structure with this stoichiometry comes out at 0.000 eV/atom. The space group is Pm-3m, No. 221.

No. 4
Material: KNa2F3
Method: DFT, PBE-GGA
State: optimized geometry

Lattice parameters (Å, degrees): 7.8171 7.8171 7.8171 153.69 153.69 37.54
Atoms (fractional coordinates):
K1 0.0000 0.0000 0.0000
Na1 0.3286 0.3286 0.0000
Na2 0.6714 0.6714 0.0000
F1 0.1753 0.1753 0.0000
F2 0.5000 0.5000 0.0000
F3 0.8247 0.8247 0.0000

## Properties
The energy above the lowest structure with this stoichiometry comes out at 0.000 eV/atom. The space group is I4/mmm, No. 139.

No. 5
Material: KNa2F
Method: DFT, PBE-GGA
State: optimized geometry

Lattice parameters (Å, degrees): 7.4091 7.4091 7.4091 120.13 120.13 89.78
Atoms (fractional coordinates):
K1 0.0000 0.0000 0.0000
K2 0.7500 0.2500 0.5000
Na1 0.3740 0.1250 0.7490
Na2 0.3750 0.6260 0.7510
Na3 0.3760 0.6250 0.2510
Na4 0.8750 0.6240 0.2490
F1 0.2500 0.7500 0.5000
F2 0.5000 0.5000 0.0000

## Properties
The energy above the lowest structure with this stoichiometry comes out at 0.000 eV/atom. The space group is I-42d, No. 122.

No. 6
Material: KNa2F
Method: DFT, PBE-GGA
State: optimized geometry

Lattice parameters (Å, degrees): 10.1182 10.1182 10.1182 21.39 21.39 21.39
Atoms (fractional coordinates):
K1 0.0000 0.0000 0.0000
Na1 0.2098 0.2098 0.2098
Na2 0.4575 0.4575 0.4575
F1 0.8340 0.8340 0.8340

## Properties
The energy above the lowest structure with this stoichiometry comes out at 0.040 eV/atom. The space group is R3m, No. 160.

No. 7
Material: KNa3F4
Method: DFT, PBE-GGA
State: optimized geometry

Lattice parameters (Å, degrees): 6.0023 6.0023 3.4498 90.00 90.00 109.45
Atoms (fractional coordinates):
K1 0.0000 0.0000 0.0000
Na1 0.0000 0.5000 0.5000
Na2 0.5000 0.0000 0.5000
Na3 0.5000 0.5000 0.0000
F1 0.2598 0.7402 0.0000
F2 0.2731 0.2731 0.5000
F3 0.7269 0.7269 0.5000
F4 0.7402 0.2598 0.0000

## Properties
The space group is Cmmm, No. 65.

No. 8
Material: K2NaF3
Method: DFT, PBE-GGA
State: optimized geometry

Lattice parameters (Å, degrees): 6.3769 6.3769 6.3769 147.03 131.34 60.04
Atoms (fractional coordinates):
K1 0.1681 0.1681 0.0000
K2 0.8319 0.8319 0.0000
Na1 0.5000 0.5000 0.0000
F1 0.0000 0.5000 0.5000
F2 0.3534 0.8534 0.5000
F3 0.6466 0.1466 0.5000

## Properties
The energy above the lowest structure with this stoichiometry comes out at 0.000 eV/atom. The space group is Immm, No. 71.

No. 9
Material: K2NaF2
Method: DFT, PBE-GGA
State: optimized geometry

Lattice parameters (Å, degrees): 7.6222 7.6222 3.6918 90.00 90.00 90.00
Atoms (fractional coordinates):
K1 0.1484 0.3516 0.0000
K2 0.3516 0.8516 0.0000
K3 0.6484 0.1484 0.0000
K4 0.8516 0.6484 0.0000
Na1 0.0000 0.0000 0.5000
Na2 0.5000 0.5000 0.5000
F1 0.1600 0.6600 0.5000
F2 0.3400 0.1600 0.5000
F3 0.6600 0.8400 0.5000
F4 0.8400 0.3400 0.5000

## Properties
The energy above the lowest structure with this stoichiometry comes out at 0.019 eV/atom. The space group is P4/mbm, No. 127.

No. 10
Material: K2NaF6
Method: DFT, PBE-GGA
State: optimized geometry

Lattice parameters (Å, degrees): 8.0608 8.0608 3.7102 97.20 97.20 51.41
Atoms (fractional coordinates):
K1 0.0000 0.0000 0.0000
K2 0.7141 0.7141 0.4053
Na1 0.4825 0.4825 0.9663
F1 0.2717 0.6952 0.4783
F2 0.3940 0.8161 0.8123
F3 0.6842 0.9715 0.9667
F4 0.6952 0.2717 0.4783
F5 0.8161 0.3940 0.8123
F6 0.9715 0.6842 0.9667

## Properties
The space group is Cm, No. 8.

No. 11
Material: KNaF2
Method: DFT, PBE-GGA
State: optimized geometry

Lattice parameters (Å, degrees): 6.4163 6.4163 6.4163 31.60 31.60 31.60
Atoms (fractional coordinates):
K1 0.0000 0.0000 0.0000
Na1 0.8295 0.8295 0.8295
F1 0.2376 0.2376 0.2376
F2 0.4251 0.4251 0.4251

## Properties
The energy above the lowest structure with this stoichiometry comes out at 0.027 eV/atom. The space group is R3m, No. 160.

No. 12
Material: K3NaF6
Method: DFT, PBE-GGA
State: optimized geometry

Lattice parameters (Å, degrees): 7.3457 7.3457 7.3457 82.90 82.90 82.90
Atoms (fractional coordinates):
K1 0.0917 0.7500 0.4083
K2 0.2500 0.5917 0.9083
K3 0.4083 0.0917 0.7500
K4 0.5917 0.9083 0.2500
K5 0.7500 0.4083 0.0917
K6 0.9083 0.2500 0.5917
Na1 0.0000 0.0000 0.0000
Na2 0.5000 0.5000 0.5000
F1 0.0905 0.2880 0.9005
F2 0.0995 0.9095 0.7120
F3 0.2120 0.4095 0.5995
F4 0.2880 0.9005 0.0905
F5 0.4005 0.7880 0.5905
F6 0.4095 0.5995 0.2120
F7 0.5905 0.4005 0.7880
F8 0.5995 0.2120 0.4095
F9 0.7120 0.0995 0.9095
F10 0.7880 0.5905 0.4005
F11 0.9005 0.0905 0.2880
F12 0.9095 0.7120 0.0995

## Properties
The space group is R-3c, No. 167.

No. 13
Material: KNaF2
Method: DFT, PBE-GGA
State: optimized geometry

Lattice parameters (Å, degrees): 6.2197 6.2197 7.1790 90.00 90.00 120.00
Atoms (fractional coordinates):
K1 0.0000 0.6489 0.1667
K2 0.3511 0.3511 0.5000
K3 0.6489 0.0000 0.8333
Na1 0.0000 0.5997 0.6667
Na2 0.4003 0.4003 0.0000
Na3 0.5997 0.0000 0.3333
F1 0.0718 0.4044 0.8963
F2 0.3326 0.9282 0.5630
F3 0.4044 0.0718 0.1037
F4 0.5956 0.6674 0.2297
F5 0.6674 0.5956 0.7703
F6 0.9282 0.3326 0.4370

## Properties
The energy above the lowest structure with this stoichiometry comes out at 0.045 eV/atom. The space group is P3_121, No. 152.

No. 14
Material: KNa2F3
Method: DFT, PBE-GGA
State: optimized geometry

Lattice parameters (Å, degrees): 3.2742 9.3347 5.9848 90.00 90.00 90.00
Atoms (fractional coordinates):
K1 0.0000 0.1351 0.0000
K2 0.0000 0.8649 0.5000
Na1 0.0000 0.2272 0.5034
Na2 0.0000 0.7728 0.0034
Na3 0.5000 0.4829 0.0083
Na4 0.5000 0.5171 0.5083
F1 0.0000 0.4050 0.7533
F2 0.0000 0.5950 0.2533
F3 0.5000 0.0789 0.6532
F4 0.5000 0.2963 0.2615
F5 0.5000 0.7037 0.7615
F6 0.5000 0.9211 0.1532

## Properties
The energy above the lowest structure with this stoichiometry comes out at 0.014 eV/atom. The space group is Pmc2_1, No. 26.

No. 15
Material: K3Na2F6
Method: DFT, PBE-GGA
State: optimized geometry

Lattice parameters (Å, degrees): 11.1390 11.1390 11.1390 157.54 157.54 31.97
Atoms (fractional coordinates):
K1 0.0000 0.0000 0.0000
K2 0.1770 0.1770 0.0000
K3 0.8230 0.8230 0.0000
Na1 0.4006 0.4006 0.0000
Na2 0.5994 0.5994 0.0000
F1 0.0819 0.5819 0.5000
F2 0.2972 0.2972 0.0000
F3 0.4181 0.9181 0.5000
F4 0.5819 0.0819 0.5000
F5 0.7028 0.7028 0.0000
F6 0.9181 0.4181 0.5000

## Properties
The space group is I4/mmm, No. 139.

No. 16
Material: KNa3F3
Method: DFT, PBE-GGA
State: optimized geometry

Lattice parameters (Å, degrees): 7.3465 7.3465 7.3465 63.28 63.28 63.28
Atoms (fractional coordinates):
K1 0.1966 0.1966 0.1966
K2 0.8034 0.8034 0.8034
Na1 0.2340 0.2340 0.7113
Na2 0.2340 0.7113 0.2340
Na3 0.2887 0.7660 0.7660
Na4 0.7113 0.2340 0.2340
Na5 0.7660 0.2887 0.7660
Na6 0.7660 0.7660 0.2887
F1 0.0877 0.0877 0.6149
F2 0.0877 0.6149 0.0877
F3 0.3851 0.9123 0.9123
F4 0.6149 0.0877 0.0877
F5 0.9123 0.3851 0.9123
F6 0.9123 0.9123 0.3851

## Properties
The space group is R-3m, No. 166.

No. 17
Material: KNa2F6
Method: DFT, PBE-GGA
State: optimized geometry

Lattice parameters (Å, degrees): 6.9318 6.9318 6.9318 151.23 108.49 78.83
Atoms (fractional coordinates):
K1 0.0000 0.0000 0.0000
Na1 0.3588 0.8588 0.5000
Na2 0.6412 0.1412 0.5000
F1 0.0481 0.6721 0.3760
F2 0.2961 0.6721 0.6240
F3 0.3780 0.5000 0.8780
F4 0.6220 0.5000 0.1220
F5 0.7039 0.3279 0.3760
F6 0.9519 0.3279 0.6240

## Properties
The space group is Immm, No. 71.

No. 18
Material: KNa2F2
Method: DFT, PBE-GGA
State: optimized geometry

Lattice parameters (Å, degrees): 7.3331 7.3331 7.3331 144.87 144.87 50.53
Atoms (fractional coordinates):
K1 0.0000 0.0000 0.0000
Na1 0.2500 0.7500 0.5000
Na2 0.7500 0.2500 0.5000
F1 0.2034 0.2034 0.0000
F2 0.7966 0.7966 0.0000

## Properties
The energy above the lowest structure with this stoichiometry comes out at 0.000 eV/atom. The space group is I4/mmm, No. 139.

No. 19
Material: KNa2F2
Method: DFT, PBE-GGA
State: optimized geometry

Lattice parameters (Å, degrees): 7.7758 7.7758 4.2421 90.00 90.00 90.00
Atoms (fractional coordinates):
K1 0.0000 0.0000 0.0000
K2 0.5000 0.5000 0.0000
Na1 0.1650 0.3350 0.5000
Na2 0.3350 0.8350 0.5000
Na3 0.6650 0.1650 0.5000
Na4 0.8350 0.6650 0.5000
F1 0.2184 0.2816 0.0000
F2 0.2816 0.7816 0.0000
F3 0.7184 0.2184 0.0000
F4 0.7816 0.7184 0.0000

## Properties
The energy above the lowest structure with this stoichiometry comes out at 0.214 eV/atom. The space group is P4/mbm, No. 127.

DFT total energy? In order: -4.02 -3.66 -2.21 -4.23 -2.62 -2.58 -4.25 -4.21 -3.36 -3.44 -4.20 -3.76 -4.19 -4.21 -4.00 -3.73 -3.41 -3.57 -3.36 eV per atom.
Size of the total moment? In order: 0.00 4.00 0.00 0.15 0.00 0.00 0.19 0.20 0.00 3.01 0.11 2.00 0.15 0.12 1.12 0.00 3.01 0.00 0.00 μB per formula unit.